Nd4HoTh2 | PBE | relaxed

Cell and atoms, written as POSCAR:
```
Nd4HoTh2
1.0
-2.450 1.640 2.118
-1.293 -1.702 2.933
14.045 8.060 13.116
Nd Th Ho
4 2 1
Direct
0.620 0.620 0.140
0.380 0.380 0.860
0.904 0.904 0.288
0.096 0.096 0.712
0.810 0.810 0.569
0.190 0.190 0.431
0.000 0.000 0.000
```

Summary:
VASP energy in eV per atom: -5.460
N(E_F) in states/eV/f.u.: 10.1
Energy of formation from the pure elements in eV per atom: 0.038


BaMgTl2Cd2 | PBE | relaxed

Cell and atoms, written as POSCAR:
```
BaMgTl2Cd2
1.0
-3.734 -2.130 -2.597
4.432 -2.330 0.395
-2.572 -3.745 6.768
Ba Tl Cd Mg
1 2 2 1
Direct
0.000 0.000 0.000
0.667 0.333 0.744
0.333 0.667 0.256
0.333 0.667 0.660
0.667 0.333 0.340
0.000 0.000 0.500
```

Summary:
VASP energy in eV per atom: -1.880
N(E_F) in states/eV/f.u.: 3.2
Energy of formation from the pure elements in eV per atom: -0.200


RbRuRh | PBE | relaxed

Cell and atoms, written as POSCAR:
```
RbRuRh
1.0
-2.406 1.969 -3.451
-3.549 -2.724 -1.333
-7.234 5.668 5.483
Ru Rh Rb
2 2 2
Direct
0.643 0.791 0.273
0.184 0.788 0.182
0.142 0.291 0.274
0.685 0.288 0.182
0.524 0.302 0.526
0.798 0.781 0.932
```

Summary:
VASP energy in eV per atom: -5.315
N(E_F) in states/eV/f.u.: 2.2
E above lowest polymorph in meV/atom: 61
Energy of formation from the pure elements in eV per atom: 0.550


PrNdGe4 | PBE | relaxed

Cell and atoms, written as POSCAR:
```
PrNdGe4
1.0
4.201 0.000 0.000
0.000 8.988 0.000
0.000 0.000 15.632
Ge Pr Nd
16 4 4
Direct
0.500 0.447 0.782
0.500 0.130 0.971
0.500 0.173 0.810
0.500 0.363 0.078
0.500 0.630 0.529
0.500 0.553 0.218
0.500 0.053 0.282
0.500 0.137 0.578
0.500 0.870 0.029
0.500 0.827 0.190
0.500 0.327 0.310
0.500 0.863 0.422
0.500 0.370 0.471
0.500 0.637 0.922
0.500 0.947 0.718
0.500 0.673 0.690
0.000 0.397 0.631
0.000 0.897 0.869
0.000 0.603 0.369
0.000 0.103 0.131
0.000 0.866 0.587
0.000 0.366 0.913
0.000 0.134 0.413
0.000 0.634 0.087
```

Summary:
VASP energy in eV per atom: -5.171
N(E_F) in states/eV/f.u.: 1.6
E above lowest polymorph in meV/atom: 0
Energy of formation from the pure elements in eV per atom: -0.502


NaThTeO2 | PBE | relaxed

Cell and atoms, written as POSCAR:
```
NaThTeO2
1.0
-3.561 0.150 -1.928
1.913 -0.319 -3.558
0.333 -6.923 3.107
O Na Th Te
2 1 1 1
Direct
0.742 0.242 0.484
0.242 0.742 0.484
0.830 0.830 0.659
0.180 0.180 0.360
0.506 0.506 0.012
```

Summary:
E_form (uncorrected) in eV/atom: -2.2607
VASP energy in eV per atom: -6.620
N(E_F) in states/eV/f.u.: 2.9


SnSb2F | PBE | relaxed

Cell and atoms, written as POSCAR:
```
SnSb2F
1.0
-6.103 -1.214 2.658
-1.575 -3.818 -5.360
-1.990 -6.612 1.023
F Sb Sn
2 4 2
Direct
0.250 0.750 0.500
0.500 0.500 0.000
0.175 0.625 0.250
0.575 0.125 0.250
0.875 0.825 0.750
0.375 0.425 0.750
0.000 0.000 0.000
0.750 0.250 0.500
```

Summary:
E_form (uncorrected) in eV/atom: -0.2822
VASP energy in eV per atom: -3.812
N(E_F) in states/eV/f.u.: 1.4
E above lowest polymorph in meV/atom: 135


NdEuTe2 | PBE | relaxed

Cell and atoms, written as POSCAR:
```
NdEuTe2
1.0
4.519 0.000 0.000
2.260 3.914 0.000
2.260 1.305 7.522
Te Eu Nd
2 1 1
Direct
0.749 0.749 0.753
0.251 0.251 0.247
0.500 0.500 0.500
0.000 0.000 0.000
```

Summary:
E_form (uncorrected) in eV/atom: -1.5557
VASP energy in eV per atom: -6.887
N(E_F) in states/eV/f.u.: 1.8
E above lowest polymorph in meV/atom: 0


Tb2NdThAs4 | PBE | relaxed

Cell and atoms, written as POSCAR:
```
Tb2NdThAs4
1.0
4.208 0.000 0.000
0.000 7.258 -0.139
0.000 2.559 6.816
Nd Tb Th As
1 2 1 4
Direct
0.500 0.500 0.000
0.000 0.000 0.000
0.500 0.000 0.500
0.000 0.500 0.500
0.500 0.244 0.751
0.000 0.757 0.746
0.000 0.243 0.254
0.500 0.756 0.249
```

Summary:
VASP energy in eV per atom: -6.523
N(E_F) in states/eV/f.u.: 1.5
Energy of formation from the pure elements in eV per atom: -1.518


Question: Which formula does entry 2 have?
Answer: BaMgTl2Cd2


Question: What is the formula in the eighth record?
Answer: Tb2NdThAs4